Material: Pr3TmGa4
Method: DFT, PBE
State: optimized geometry

- volume (A^3/atom) = 24.9
- energy of formation (eV per formula unit) = -4.4

Lattice parameters (Å, degrees): 3.6651 3.6651 14.8004 90.00 90.00 90.00
Atoms (fractional coordinates):
Pr (0.5000, 0.5000, 0.2419)
Pr (0.5000, 0.5000, 0.5000)
Pr (0.5000, 0.5000, 0.7581)
Tm (0.5000, 0.5000, 0.0000)
Ga (0.0000, 0.0000, 0.8910)
Ga (0.0000, 0.0000, 0.1090)
Ga (0.0000, 0.0000, 0.3707)
Ga (0.0000, 0.0000, 0.6293)